1.
TbAlNi3 PBE relaxed; space-group type = Cmmm (65); calculated volume = 168.8 Å³/cell
1.0
-4.2651 -0.6460 0.8615
0.6780 -5.3694 -0.6697
1.4838 -0.6666 6.8462
Tb Ni Al
2 6 2
direct
0.5000 0.0000 0.0000
0.5000 0.5000 0.5000
0.0000 0.7493 0.2504
0.0000 0.2507 0.7496
0.0000 0.2493 0.2496
0.5000 0.5000 0.0000
0.5000 0.0000 0.5000
0.0000 0.7507 0.7504
0.0000 0.0000 0.5000
0.0000 0.5000 0.0000



2.
Tb3Al5Ni12 PBE relaxed; space-group type = Ia-3d (230); calculated volume = 1473.3 Å³/cell
1.0
-2.0365 -10.7647 5.8412
9.3231 -1.3765 -8.0828
2.9867 8.7211 8.3168
Ni Al Tb
48 20 12
direct
0.2158 0.5590 0.6369
0.8432 0.9211 0.2842
0.6369 0.5779 0.9211
0.9221 0.0789 0.8631
0.5590 0.3432 0.9221
0.4221 0.3631 0.5789
0.1369 0.4211 0.0779
0.5789 0.7158 0.6568
0.2842 0.8631 0.9410
0.4221 0.0590 0.3432
0.4211 0.2842 0.3432
0.0590 0.6369 0.7158
0.3432 0.5590 0.4221
0.1568 0.0779 0.9410
0.6568 0.2158 0.5789
0.9410 0.5779 0.1568
0.9410 0.3631 0.2842
0.7158 0.5789 0.1568
0.3432 0.7842 0.4211
0.9221 0.8432 0.5590
0.1568 0.0789 0.7158
0.8432 0.9221 0.0590
0.7158 0.1369 0.0590
0.5590 0.2158 0.1369
0.8631 0.5789 0.9221
0.2158 0.6568 0.0789
0.1369 0.7158 0.5590
0.0789 0.9221 0.3631
0.6568 0.4410 0.5779
0.5779 0.9410 0.6568
0.6369 0.0590 0.2158
0.4211 0.1369 0.5779
0.9211 0.0779 0.6369
0.0590 0.4221 0.8432
0.2842 0.4211 0.8432
0.3631 0.9410 0.7842
0.4410 0.7842 0.8631
0.7842 0.3432 0.9211
0.9211 0.8432 0.7842
0.0789 0.1568 0.2158
0.7842 0.4410 0.3631
0.0779 0.1568 0.4410
0.5779 0.6369 0.4211
0.0779 0.9211 0.1369
0.5789 0.8631 0.4221
0.4410 0.6568 0.0779
0.3631 0.4221 0.0789
0.8631 0.2842 0.4410
0.5000 0.5000 0.5000
0.7500 0.1250 0.8750
0.7500 0.6250 0.3750
0.1250 0.3750 0.2500
0.5000 0.5000 0.0000
0.6250 0.7500 0.8750
0.2500 0.3750 0.6250
0.5000 0.0000 0.0000
0.3750 0.1250 0.7500
0.1250 0.7500 0.3750
0.0000 0.0000 0.5000
0.0000 0.5000 0.0000
0.3750 0.2500 0.1250
0.5000 0.0000 0.5000
0.2500 0.8750 0.1250
0.6250 0.8750 0.2500
0.8750 0.2500 0.6250
0.8750 0.6250 0.7500
0.0000 0.0000 0.0000
0.0000 0.5000 0.5000
0.3750 0.6250 0.2500
0.8750 0.7500 0.1250
0.7500 0.8750 0.6250
0.6250 0.3750 0.7500
0.1250 0.8750 0.7500
0.3750 0.7500 0.6250
0.2500 0.6250 0.8750
0.1250 0.2500 0.8750
0.8750 0.1250 0.2500
0.7500 0.3750 0.1250
0.2500 0.1250 0.3750
0.6250 0.2500 0.3750



3.
TbAl8Ni3 PBE relaxed; space-group type = Amm2 (38); calculated volume = 198.2 Å³/cell
1.0
-7.5850 -1.2730 2.6070
5.5896 0.0309 -5.8912
1.4574 -5.9154 1.3518
Al Ni Tb
8 3 1
direct
0.3264 0.6736 0.7743
0.9330 0.0670 0.0000
0.6919 0.3081 0.2941
0.6919 0.3081 0.7059
0.3264 0.6736 0.2257
0.0700 0.9300 0.5000
0.5030 0.4970 0.7405
0.5030 0.4970 0.2595
0.8251 0.1749 0.5000
0.7860 0.2140 0.0000
0.2186 0.7814 0.5000
0.1246 0.8754 0.0000



4.
Tb4Al3Ni PBE relaxed; space-group type = P4/mmm (123); calculated volume = 181.2 Å³/cell
1.0
3.4860 0.0000 0.0000
0.0000 3.4860 0.0000
0.0000 0.0000 14.9131
Tb Al Ni
4 3 1
direct
0.0000 0.0000 0.8904
0.0000 0.0000 0.1096
0.0000 0.0000 0.6311
0.0000 0.0000 0.3689
0.5000 0.5000 0.5000
0.5000 0.5000 0.7598
0.5000 0.5000 0.2402
0.5000 0.5000 0.0000



5.
Tb12AlNi5 PBE relaxed; space-group type = Immm (71); calculated volume = 443.6 Å³/cell
1.0
7.7602 0.0262 -3.0182
-4.0038 6.8837 -2.4322
-0.0584 -0.0262 8.3263
Tb Ni Al
12 5 1
direct
0.5218 0.8176 0.7042
0.1892 0.9748 0.7856
0.1134 0.8176 0.2958
0.8108 0.5965 0.7856
0.3038 0.6764 0.9802
0.6962 0.3236 0.0198
0.8108 0.0252 0.2144
0.3038 0.3236 0.6274
0.8866 0.1824 0.7042
0.4782 0.1824 0.2958
0.6962 0.6764 0.3726
0.1892 0.4035 0.2144
0.5000 0.1249 0.6249
0.5000 0.8751 0.3751
0.6359 0.6359 0.0000
0.3641 0.3641 0.0000
0.0000 0.0000 0.0000
0.0000 0.5000 0.5000



6.
TbAlNi PBE relaxed; space-group type = Pmma (51); calculated volume = 334.4 Å³/cell
1.0
3.8819 0.0000 0.0000
0.0000 7.0342 0.0000
0.0000 0.0000 12.2468
Ni Al Tb
6 6 6
direct
0.0000 0.5407 0.2500
0.5000 0.0467 0.4030
0.5000 0.9533 0.9030
0.5000 0.9533 0.5970
0.5000 0.0467 0.0970
0.0000 0.4593 0.7500
0.5000 0.5791 0.8647
0.5000 0.7740 0.2500
0.5000 0.5791 0.6353
0.5000 0.2260 0.7500
0.5000 0.4209 0.1353
0.5000 0.4209 0.3647
0.0000 0.1226 0.2500
0.0000 0.8774 0.7500
0.0000 0.2482 0.5404
0.0000 0.2482 0.9596
0.0000 0.7518 0.0404
0.0000 0.7518 0.4596



7.
Tb2Al5Ni3 PBE relaxed; space-group type = Cmc2_1 (36); calculated volume = 335.5 Å³/cell
1.0
4.0902 0.0000 -0.6968
0.0000 6.5619 0.0000
0.0242 0.0000 12.4963
Al Ni Tb
10 6 4
direct
0.0561 0.5991 0.1121
0.2921 0.9085 0.5841
0.4013 0.4045 0.8027
0.7079 0.4085 0.4159
0.2874 0.5108 0.5748
0.1290 0.2415 0.2581
0.5987 0.9045 0.1973
0.9439 0.0991 0.8879
0.8710 0.7415 0.7419
0.7126 0.0108 0.4252
0.3905 0.0199 0.7809
0.7719 0.7075 0.5438
0.0492 0.9842 0.0983
0.9508 0.4842 0.9017
0.2281 0.2075 0.4562
0.6095 0.5199 0.2191
0.5216 0.2702 0.0432
0.8253 0.2186 0.6506
0.1747 0.7186 0.3494
0.4784 0.7702 0.9568



8.
Tb2AlNi7 PBE relaxed; space-group type = P-4m2 (115); calculated volume = 149.9 Å³/cell
1.0
3.7742 0.0000 0.0000
0.0000 3.7742 0.0000
0.0000 0.0000 10.5260
Tb Ni Al
2 7 1
direct
0.5000 0.0000 0.7330
0.0000 0.5000 0.2670
0.5000 0.5000 0.5000
0.5000 0.0000 0.1420
0.0000 0.5000 0.8580
0.0000 0.0000 0.5000
0.0000 0.0000 0.0000
0.0000 0.5000 0.6394
0.5000 0.0000 0.3606
0.5000 0.5000 0.0000



9.
Tb3AlNi3 PBE relaxed; space-group type = Cmcm (63); calculated volume = 271.6 Å³/cell
1.0
4.0884 0.0000 0.0000
-2.0442 5.0169 0.0000
0.0000 0.0000 13.2434
Ni Tb Al
6 6 2
direct
0.2066 0.4132 0.2500
0.0757 0.1515 0.0889
0.0757 0.1515 0.4111
0.9243 0.8485 0.9111
0.7934 0.5868 0.7500
0.9243 0.8485 0.5889
0.7869 0.5739 0.1043
0.2131 0.4261 0.8957
0.7869 0.5739 0.3957
0.5042 0.0085 0.2500
0.2131 0.4261 0.6043
0.4958 0.9915 0.7500
0.5000 0.0000 0.5000
0.5000 0.0000 0.0000



10.
TbAl4Ni4 PBE relaxed; space-group type = I4/m (87); calculated volume = 294.8 Å³/cell
1.0
-3.7860 1.3768 1.7922
-4.0809 -2.6893 -6.5549
-0.9536 -7.2872 3.5834
Ni Al Tb
8 8 2
direct
0.0002 0.1858 0.3118
0.9998 0.3118 0.8142
0.9998 0.6882 0.1858
0.5002 0.8118 0.3142
0.4998 0.3142 0.1882
0.0002 0.8142 0.6882
0.5002 0.1882 0.6858
0.4998 0.6858 0.8118
0.4998 0.6179 0.1053
0.4998 0.3821 0.8947
0.0002 0.8821 0.3947
0.0002 0.1179 0.6053
0.5002 0.1053 0.3821
0.9998 0.6053 0.8821
0.9998 0.3947 0.1179
0.5002 0.8947 0.6179
0.0000 0.0000 0.0000
0.5000 0.5000 0.5000



11.
TbAlNi PBE relaxed; space-group type = P-6m2 (187); calculated volume = 58.6 Å³/cell
1.0
3.7345 0.0000 0.0000
0.0000 4.2553 0.0000
0.0000 -2.1277 3.6852
Ni Tb Al
1 1 1
direct
0.1667 0.3333 0.6667
0.6667 0.6667 0.3333
0.1667 0.0000 0.0000



12.
TbAl6Ni4 PBE relaxed; space-group type = P-6m2 (187); calculated volume = 162.9 Å³/cell
1.0
3.9258 0.0000 0.0000
0.0000 6.9212 0.0000
0.0000 -3.4606 5.9939
Al Ni Tb
6 4 1
direct
0.5000 0.2000 0.4001
0.5000 0.5999 0.8000
0.0000 0.5332 0.4668
0.0000 0.9337 0.4668
0.0000 0.5332 0.0663
0.5000 0.2000 0.8000
0.5000 0.7917 0.5834
0.5000 0.7917 0.2083
0.0000 0.3333 0.6667
0.5000 0.4166 0.2083
0.0000 0.0000 0.0000



Record order is preserved below.
ΔE_f: -4.35, 30.47, -31.42, -37.24, -29.64, -55.34, -55.50, -31.51, -48.64, -35.63, -45.68, -57.39 kJ per mole of atoms